Crystalline Zr2MnNb2 at its relaxed geometry, computed with PBE.

abc: 8.067 8.067 8.067
angles: 152.98 152.98 38.58
Atoms (fractional coordinates):
Zr  0.095  0.095  0.000
Zr  0.905  0.905  0.000
Mn  0.500  0.500  0.000
Nb  0.250  0.750  0.500
Nb  0.750  0.250  0.500

Symmetry: No. 139
Relative energy among the computed polymorphs in eV/atom: 0.449
Energy in eV/atom: -8.631
DFT formation energy in eV/atom: 0.65